Entry w
The following is a DFT calculation (GGA-PBE) of a geometry-optimized In2Co2Si structure.

The symmetry is No. 127.

Unit cell a=6.1025 b=6.1025 c=4.1653 alpha=90.00 beta=90.00 gamma=90.00
With the nearest neighbours (Å) after each atom.
Fractional positions:
1 Si 0.5000 0.5000 0.0000  4 Co 2.31
2 Si 0.0000 0.0000 0.0000  4 Co 2.31
3 Co 0.8461 0.6539 0.0000  2 Si 2.31
4 Co 0.1539 0.3461 0.0000  2 Si 2.31
5 Co 0.3461 0.8461 0.0000  2 Si 2.31
6 Co 0.6539 0.1539 0.0000  2 Si 2.31
7 In 0.1639 0.6639 0.5000  6 Co 2.61-2.85, 1 In 2.83
8 In 0.8361 0.3361 0.5000  6 Co 2.61-2.85, 1 In 2.83
9 In 0.6639 0.8361 0.5000  6 Co 2.61-2.85, 1 In 2.83
10 In 0.3361 0.1639 0.5000  6 Co 2.61-2.85, 1 In 2.83

Entry x
The following is a DFT calculation (GGA-PBE) of a geometry-optimized In2Co2Si structure.

The symmetry is No. 139.

Unit cell a=3.8743 b=3.8743 c=6.4848 alpha=72.62 beta=72.62 gamma=90.00
With the nearest neighbours (Å) after each atom.
Fractional positions:
1 In 0.7500 0.2500 0.5000  4 Co 2.67, 4 In 2.74
2 In 0.2500 0.7500 0.5000  4 Co 2.67, 4 In 2.74
3 Co 0.4058 0.4058 0.1884  1 Co 2.21
4 Co 0.5942 0.5942 0.8116  1 Co 2.21
5 Si 0.0000 0.0000 0.0000  8 Co 2.95

Which of them is the most stable? Correct choice: entry w.

Entry w
The following is a DFT calculation (GGA-PBE) of a geometry-optimized In2CoSn2 structure.

The symmetry is No. 141.

Unit cell a=4.5250 b=4.5250 c=11.7555 alpha=101.10 beta=101.10 gamma=90.00
With the nearest neighbours (Å) after each atom.
Fractional positions:
1 Sn 0.8236 0.8236 0.6473  2 Co 2.81, 1 In 3.04
2 Sn 0.1764 0.1764 0.3527  2 Co 2.81, 1 In 3.04
3 Sn 0.4264 0.9264 0.8527  2 Co 2.81, 1 In 3.04
4 Sn 0.0736 0.5736 0.1473  2 Co 2.81, 1 In 3.04
5 In 0.5609 0.0609 0.1218  2 Co 2.65
6 In 0.3109 0.3109 0.6218  2 Co 2.65
7 In 0.9391 0.4391 0.8782  2 Co 2.65
8 In 0.6891 0.6891 0.3782  2 Co 2.65
9 Co 0.5000 0.5000 0.0000  4 In 2.65, 4 Sn 2.81
10 Co 0.7500 0.2500 0.5000  4 In 2.65, 4 Sn 2.81

Entry x
The following is a DFT calculation (GGA-PBE) of a geometry-optimized In2CoSn2 structure.

The symmetry is No. 127.

Unit cell a=6.7446 b=6.7446 c=5.3340 alpha=90.00 beta=90.00 gamma=90.00
With the nearest neighbours (Å) after each atom.
Fractional positions:
1 Co 0.0000 0.0000 0.0000  4 Sn 2.52
2 Co 0.5000 0.5000 0.0000  4 Sn 2.52
3 In 0.1695 0.6695 0.5000  2 Sn 3.10, 1 In 3.23
4 In 0.3305 0.1695 0.5000  2 Sn 3.10, 1 In 3.23
5 In 0.8305 0.3305 0.5000  2 Sn 3.10, 1 In 3.23
6 In 0.6695 0.8305 0.5000  2 Sn 3.10, 1 In 3.23
7 Sn 0.3359 0.8359 0.0000  2 Co 2.52
8 Sn 0.1641 0.3359 0.0000  2 Co 2.52
9 Sn 0.8359 0.6641 0.0000  2 Co 2.52
10 Sn 0.6641 0.1641 0.0000  2 Co 2.52

Which of them is the most stable? Correct choice: entry w.

Entry w
The following is a DFT calculation (GGA-PBE) of a geometry-optimized InCo2Sn2 structure.

The symmetry is No. 139.

Unit cell a=4.1535 b=4.1535 c=6.3156 alpha=70.80 beta=70.80 gamma=90.00
With the nearest neighbours (Å) after each atom.
Fractional positions:
1 Sn 0.2500 0.7500 0.5000  4 Co 2.63, 4 Sn 2.94
2 Sn 0.7500 0.2500 0.5000  4 Co 2.63, 4 Sn 2.94
3 Co 0.3950 0.3950 0.2100  1 Co 2.35
4 Co 0.6050 0.6050 0.7900  1 Co 2.35
5 In 0.0000 0.0000 0.0000  8 Co 3.16, 8 Sn 3.48

Entry x
The following is a DFT calculation (GGA-PBE) of a geometry-optimized InCo2Sn2 structure.

The symmetry is No. 127.

Unit cell a=7.0182 b=7.0182 c=3.5417 alpha=90.00 beta=90.00 gamma=90.00
With the nearest neighbours (Å) after each atom.
Fractional positions:
1 In 0.5000 0.5000 0.0000  4 Co 2.71
2 In 0.0000 0.0000 0.0000  4 Co 2.71
3 Co 0.6407 0.1407 0.0000  6 Sn 2.69-2.73, 2 In 2.71, 1 Co 2.79
4 Co 0.1407 0.3593 0.0000  6 Sn 2.69-2.73, 2 In 2.71, 1 Co 2.79
5 Co 0.3593 0.8593 0.0000  6 Sn 2.69-2.73, 2 In 2.71, 1 Co 2.79
6 Co 0.8593 0.6407 0.0000  6 Sn 2.69-2.73, 2 In 2.71, 1 Co 2.79
7 Sn 0.3448 0.1552 0.5000  6 Co 2.69-2.73
8 Sn 0.8448 0.3448 0.5000  6 Co 2.69-2.73
9 Sn 0.6552 0.8448 0.5000  6 Co 2.69-2.73
10 Sn 0.1552 0.6552 0.5000  6 Co 2.69-2.73

Which of them is the most stable? Correct choice: entry x.

Entry w
The following is a DFT calculation (GGA-PBE) of a geometry-optimized Tb3InCo structure.

The symmetry is No. 12.

Unit cell a=5.3752 b=6.4774 c=9.0906 alpha=68.36 beta=72.80 gamma=65.49
With the nearest neighbours (Å) after each atom.
Fractional positions:
1 Tb 0.1539 0.3505 0.3417  1 Co 2.63
2 Tb 0.8461 0.6495 0.6583  1 Co 2.63
3 Tb 0.6210 0.6729 0.0850  3 Co 2.67-2.70
4 Tb 0.8912 0.9986 0.2190  2 Co 2.65-2.67
5 Tb 0.1088 0.0014 0.7810  2 Co 2.65-2.67
6 Tb 0.3790 0.3271 0.9150  3 Co 2.67-2.70
7 In 0.3945 0.7649 0.4461  1 In 3.00, 4 Tb 3.22-3.33
8 In 0.6055 0.2351 0.5539  1 In 3.00, 4 Tb 3.22-3.33
9 Co 0.1345 0.6706 0.0604  6 Tb 2.63-2.70
10 Co 0.8655 0.3294 0.9396  6 Tb 2.63-2.70

Entry x
The following is a DFT calculation (GGA-PBE) of a geometry-optimized Tb3InCo structure.

The symmetry is No. 11.

Unit cell a=3.8428 b=8.4716 c=8.6931 alpha=113.17 beta=90.00 gamma=90.00
With the nearest neighbours (Å) after each atom.
Fractional positions:
1 Tb 0.7500 0.3307 0.9005  1 Co 2.82
2 Tb 0.7500 0.6797 0.4275  3 Co 2.93-2.98, 1 In 3.25
3 Tb 0.7500 0.0323 0.2285  3 Co 2.86-2.96
4 Tb 0.2500 0.3203 0.5725  3 Co 2.93-2.98, 1 In 3.25
5 Tb 0.2500 0.6693 0.0995  1 Co 2.82
6 Tb 0.2500 0.9677 0.7715  3 Co 2.86-2.96
7 Co 0.7500 0.0627 0.5796  2 Co 2.36
8 Co 0.2500 0.9373 0.4204  2 Co 2.36
9 In 0.7500 0.6633 0.7948  8 Tb 3.25-3.38
10 In 0.2500 0.3367 0.2052  8 Tb 3.25-3.38

Which of them is the most stable? Correct choice: entry x.